VASP calculation (GGA-PBE) on a geometry-optimized LiHPd3 structure.

a = 7.430 Å, b = 7.430 Å, c = 7.430 Å
α = 60.00°, β = 60.00°, γ = 60.00°
Fractional coordinates of all 20 atoms:
Li (0.000, 0.000, 0.000)
Li (0.000, 0.000, 0.500)
Li (0.000, 0.500, 0.000)
Li (0.500, 0.000, 0.000)
H (0.000, 0.500, 0.500)
H (0.500, 0.000, 0.500)
H (0.500, 0.500, 0.000)
H (0.500, 0.500, 0.500)
Pd (0.184, 0.184, 0.566)
Pd (0.184, 0.566, 0.184)
Pd (0.184, 0.566, 0.566)
Pd (0.434, 0.434, 0.816)
Pd (0.434, 0.816, 0.434)
Pd (0.434, 0.816, 0.816)
Pd (0.566, 0.184, 0.184)
Pd (0.566, 0.184, 0.566)
Pd (0.566, 0.566, 0.184)
Pd (0.816, 0.434, 0.434)
Pd (0.816, 0.434, 0.816)
Pd (0.816, 0.816, 0.434)

- D(E_F): 12.1 states/eV/cell
- Energy above the most stable polymorph in this dataset: 210 meV per atom
- E_tot: -4.2493 eV per atom